Entry 1:
# GeAsRh2 | Alexandria | PBE | relaxed
# Total magnetic moment: 0.00 μB per formula unit
# Relative energy among the computed polymorphs: 327 meV per atom
# Total DFT energy (no corrections): -74.72 eV per cell
data_GeAsRh2
_chemical_formula_sum 'Ge3 As3 Rh6'
_space_group_name_H-M_alt 'R 3 m'
_space_group_IT_number 160
_space_group_name_Hall 'R 3 -2"'
_cell_length_a 3.8005
_cell_length_b 3.8005
_cell_length_c 15.8609
_cell_angle_alpha 90.00
_cell_angle_beta 90.00
_cell_angle_gamma 120.00
loop_
_atom_site_label
_atom_site_type_symbol
_atom_site_fract_x
_atom_site_fract_y
_atom_site_fract_z
Ge1 Ge 0.0000 0.0000 0.0000
As1 As 0.0000 0.0000 0.1728
Rh1 Rh 0.0000 0.0000 0.5779
Rh2 Rh 0.0000 0.0000 0.7552

***

Entry 2:
# Fe2BiWC | Alexandria | PBE | relaxed
# Total magnetic moment: 0.00 μB per formula unit
# Relative energy among the computed polymorphs: 0 meV per atom
# Total DFT energy (no corrections): -37.38 eV per cell
data_Fe2BiWC
_chemical_formula_sum 'Fe2 Bi1 W1 C1'
_space_group_name_H-M_alt 'P 4/m m m'
_space_group_IT_number 123
_space_group_name_Hall '-P 4 2'
_cell_length_a 3.834
_cell_length_b 3.834
_cell_length_c 4.852
_cell_angle_alpha 90.00
_cell_angle_beta 90.00
_cell_angle_gamma 90.00
loop_
_atom_site_label
_atom_site_type_symbol
_atom_site_fract_x
_atom_site_fract_y
_atom_site_fract_z
Fe1 Fe 0.000 0.500 0.000
Bi1 Bi 0.000 0.000 0.500
W1 W 0.500 0.500 0.500
C1 C 0.000 0.000 0.000

***

Entry 3:
# Pm2Zn7Pd | Alexandria | PBE | relaxed
# Total magnetic moment: 0.00 μB per formula unit
# Relative energy among the computed polymorphs: 239 meV per atom
# Total DFT energy (no corrections): -99.75 eV per cell
data_Pm2Zn7Pd
_chemical_formula_sum 'Pm8 Zn28 Pd4'
_space_group_name_H-M_alt 'F m -3 m'
_space_group_IT_number 225
_space_group_name_Hall '-F 4 2 3'
_cell_length_a 9.434
_cell_length_b 9.434
_cell_length_c 9.434
_cell_angle_alpha 90.00
_cell_angle_beta 90.00
_cell_angle_gamma 90.00
loop_
_atom_site_label
_atom_site_type_symbol
_atom_site_fract_x
_atom_site_fract_y
_atom_site_fract_z
Pm1 Pm 0.250 0.250 0.250
Zn1 Zn 0.000 0.000 0.000
Zn2 Zn 0.000 0.000 0.247
Pd1 Pd 0.000 0.000 0.500

***

Entry 4:
# HoPaGa6 | Alexandria | PBE | relaxed
# Total magnetic moment: 0.00 μB per formula unit
# Total DFT energy (no corrections): -35.81 eV per cell
data_HoPaGa6
_chemical_formula_sum 'Ho1 Pa1 Ga6'
_space_group_name_H-M_alt 'P -6 m 2'
_space_group_IT_number 187
_space_group_name_Hall 'P -6 2'
_cell_length_a 6.2601
_cell_length_b 6.2601
_cell_length_c 4.5615
_cell_angle_alpha 90.00
_cell_angle_beta 90.00
_cell_angle_gamma 120.00
loop_
_atom_site_label
_atom_site_type_symbol
_atom_site_fract_x
_atom_site_fract_y
_atom_site_fract_z
Ho1 Ho 0.0000 0.0000 0.0000
Pa1 Pa 0.6667 0.3333 0.5000
Ga1 Ga 0.0383 0.5192 0.0000
Ga2 Ga 0.1833 0.3667 0.5000